Record 1
Compound: MnNi2Se2
Source: Alexandria
Functional: PBE
Structure: relaxed

Cell: 6.677 6.677 3.343 Å, 90.00 90.00 90.00°
Sites, in units of the cell vectors:
Mn 0.000 0.000 0.000
Mn 0.500 0.500 0.000
Ni 0.130 0.370 0.000
Ni 0.370 0.870 0.000
Ni 0.630 0.130 0.000
Ni 0.870 0.630 0.000
Se 0.178 0.678 0.500
Se 0.322 0.178 0.500
Se 0.678 0.822 0.500
Se 0.822 0.322 0.500

## Properties
**E_tot**: -5.4984 eV per atom
**Density**: 7.36 g/cm³
**Energy above the lowest structure with this stoichiometry**: 0.00 eV/f.u.
**V**: 75 Å³/f.u.
**Symmetry**: P4/mbm
**ΔE_f (raw)**: 0.042 eV/atom


Record 2
Compound: NdMg2Cu2Sn2
Source: Alexandria
Functional: PBE
Structure: relaxed

Cell: 8.898 8.898 8.898 Å, 29.66 29.66 29.66°
Sites, in units of the cell vectors:
Nd 0.000 0.000 0.000
Mg 0.134 0.134 0.134
Mg 0.866 0.866 0.866
Cu 0.412 0.412 0.412
Cu 0.588 0.588 0.588
Sn 0.254 0.254 0.254
Sn 0.746 0.746 0.746

## Properties
**E_tot**: -3.7889 eV per atom
**Density**: 6.06 g/cm³
**Formation energy from the elements**: -228 kJ/mol of formula units
**V**: 153 Å³/f.u.
**Symmetry**: R-3m


Record 3
Compound: Ac3AgHg
Source: Alexandria
Functional: PBE
Structure: relaxed

Cell: 7.411 7.411 15.705 Å, 103.24 103.24 62.68°
Sites, in units of the cell vectors:
Ac 0.102 0.212 0.821
Ac 0.172 0.357 0.612
Ac 0.212 0.102 0.321
Ac 0.224 0.727 0.951
Ac 0.273 0.776 0.549
Ac 0.357 0.172 0.112
Ac 0.643 0.828 0.888
Ac 0.727 0.224 0.451
Ac 0.776 0.273 0.049
Ac 0.788 0.898 0.679
Ac 0.828 0.643 0.388
Ac 0.898 0.788 0.179
Ag 0.000 0.500 0.000
Ag 0.302 0.698 0.750
Ag 0.500 0.000 0.500
Ag 0.698 0.302 0.250
Hg 0.292 0.550 0.331
Hg 0.450 0.708 0.169
Hg 0.550 0.292 0.831
Hg 0.708 0.450 0.669

## Properties
**E_tot**: -3.2325 eV per atom
**Density**: 8.90 g/cm³
**Energy above the lowest structure with this stoichiometry**: 0.75 eV/f.u.
**Formation energy from the elements**: -66 kJ/mol of formula units
**V**: 185 Å³/f.u.
**Symmetry**: C2/c